1.
Material: NdB2Pd7
Method: DFT, PBE
State: optimized geometry

a b c (Å): 7.157 10.899 4.233
angles (deg): 90.00 90.00 90.00
Space group Cmmm (No. 65)
Unique sites:
Nd1 0.000 0.000 0.000
B1 0.000 0.292 0.500
Pd1 0.000 0.326 0.000
Pd2 0.000 0.500 0.500
Pd3 0.193 0.137 0.500

N(E_F): 10.87 states/eV/cell
spin magnetization: 0.00 μB per atom
calculated formation energy: -0.251 eV/atom


2.
Material: Ba6Ge2I3Cl
Method: DFT, PBE
State: optimized geometry

a b c (Å): 22.073 4.892 10.104
angles (deg): 90.00 106.26 90.00
Space group C2/m (No. 12)
Unique sites:
Ba1 0.015 0.000 0.240
Ba2 0.166 0.500 0.113
Ba3 0.177 0.500 0.555
Ge1 0.161 0.000 0.320
I1 0.000 0.500 0.500
I2 0.160 0.000 0.829
Cl1 0.000 0.500 0.000

N(E_F): 7.46 states/eV/cell
spin magnetization: 0.00 μB per atom
uncorrected formation energy: -1.251 eV per atom